Entry 1:
The following is a DFT calculation (PBE-GGA) of a relaxed NaLi3 crystal.

Properties
* Fermi-level density of states: 0.42 states/eV/atom
* V: 192.3 Å³ per cell
* crystal system: tetragonal
* raw total energy: -1.744 eV/atom
* formation enthalpy at 0 K: 21 meV per atom

Cell lengths 3.401, 3.401, 16.623 Å; angles 90.00, 90.00, 90.00 degrees
Sites, in units of the cell vectors:
Na: 0.500 0.000 0.089
Na: 0.000 0.500 0.911
Li: 0.500 0.000 0.767
Li: 0.000 0.500 0.660
Li: 0.500 0.000 0.554
Li: 0.000 0.500 0.446
Li: 0.500 0.000 0.340
Li: 0.000 0.500 0.233

***

Entry 2:
The following is a DFT calculation (PBE-GGA) of a relaxed Ba2LiCd6Cu crystal.

Properties
* Fermi-level density of states: 0.57 states/eV/atom
* V: 283.0 Å³ per cell
* crystal system: tetragonal
* raw total energy: -1.686 eV/atom
* formation enthalpy at 0 K: -152 meV per atom

Cell lengths 7.381, 7.381, 7.364 Å; angles 59.92, 59.93, 90.00 degrees
Sites, in units of the cell vectors:
Ba: 0.750 0.250 0.500
Ba: 0.250 0.750 0.500
Li: 0.000 0.000 0.000
Cd: 0.250 0.250 0.500
Cd: 0.750 0.750 0.000
Cd: 0.250 0.750 0.000
Cd: 0.750 0.250 0.000
Cd: 0.250 0.250 0.000
Cd: 0.750 0.750 0.500
Cu: 0.500 0.500 0.000

***

Entry 3:
The following is a DFT calculation (PBE-GGA) of a relaxed CePrSbI crystal.

Properties
* Fermi-level density of states: 1.88 states/eV/atom
* V: 119.3 Å³ per cell
* formation energy (no corrections): -929 meV per atom
* crystal system: cubic
* raw total energy: -5.025 eV/atom

Cell lengths 5.526, 5.526, 5.526 Å; angles 60.00, 60.00, 60.00 degrees
Sites, in units of the cell vectors:
Pr: 0.750 0.750 0.750
I: 0.500 0.500 0.500
Ce: 0.250 0.250 0.250
Sb: 0.000 0.000 0.000

***

Entry 4:
The following is a DFT calculation (PBE-GGA) of a relaxed Tl2NiRh crystal.

Properties
* Fermi-level density of states: 0.88 states/eV/atom
* V: 71.4 Å³ per cell
* crystal system: monoclinic
* raw total energy: -4.229 eV/atom
* formation enthalpy at 0 K: 237 meV per atom

Cell lengths 3.292, 3.274, 7.399 Å; angles 63.50, 90.00, 90.00 degrees
Sites, in units of the cell vectors:
Ni: 0.500 0.250 0.250
Rh: 0.500 0.750 0.750
Tl: 0.000 0.991 0.008
Tl: 0.000 0.509 0.492

***

Entry 5:
The following is a DFT calculation (PBE-GGA) of a relaxed Li2CaTl2Cd2 crystal.

Properties
* Fermi-level density of states: 0.45 states/eV/atom
* V: 165.0 Å³ per cell
* crystal system: trigonal
* raw total energy: -1.998 eV/atom
* formation enthalpy at 0 K: -227 meV per atom

Cell lengths 5.053, 5.053, 8.012 Å; angles 71.62, 71.62, 60.00 degrees
Sites, in units of the cell vectors:
Li: 0.146 0.146 0.563
Li: 0.854 0.854 0.437
Ca: 0.000 0.000 0.000
Tl: 0.727 0.727 0.819
Tl: 0.273 0.273 0.181
Cd: 0.567 0.567 0.299
Cd: 0.433 0.433 0.701

***

Entry 6:
The following is a DFT calculation (PBE-GGA) of a relaxed Pa4Te5Se2 crystal.

Properties
* Fermi-level density of states: 1.77 states/eV/atom
* V: 385.3 Å³ per cell
* formation energy (no corrections): -879 meV per atom
* crystal system: monoclinic
* raw total energy: -6.394 eV/atom

Cell lengths 4.050, 7.830, 12.323 Å; angles 88.12, 99.46, 90.00 degrees
Sites, in units of the cell vectors:
Pa: 0.673 0.566 0.347
Pa: 0.019 0.704 0.038
Pa: 0.327 0.434 0.653
Pa: 0.981 0.296 0.962
Te: 0.137 0.838 0.275
Te: 0.863 0.162 0.725
Te: 0.211 0.291 0.421
Te: 0.500 0.000 0.000
Te: 0.789 0.709 0.579
Se: 0.564 0.443 0.128
Se: 0.436 0.557 0.872

***

Entry 7:
The following is a DFT calculation (PBE-GGA) of a relaxed CeDy5Y4 crystal.

Properties
* Fermi-level density of states: 1.64 states/eV/atom
* V: 324.6 Å³ per cell
* crystal system: tetragonal
* raw total energy: -5.226 eV/atom
* formation enthalpy at 0 K: 254 meV per atom

Cell lengths 5.878, 7.992, 7.992 Å; angles 82.23, 68.42, 68.42 degrees
Sites, in units of the cell vectors:
Ce: 0.199 0.000 0.000
Dy: 0.772 0.371 0.000
Dy: 0.143 0.000 0.629
Dy: 0.772 0.000 0.371
Dy: 0.143 0.629 0.000
Dy: 0.666 0.000 0.000
Y: 0.454 0.324 0.675
Y: 0.778 0.675 0.676
Y: 0.129 0.325 0.324
Y: 0.454 0.676 0.325

***

Entry 8:
The following is a DFT calculation (PBE-GGA) of a relaxed AlCo3H crystal.

Properties
* Fermi-level density of states: 1.21 states/eV/atom
* V: 46.2 Å³ per cell
* crystal system: cubic
* raw total energy: -5.884 eV/atom

Cell lengths 3.589, 3.589, 3.589 Å; angles 90.00, 90.00, 90.00 degrees
Sites, in units of the cell vectors:
H: 0.000 0.000 0.000
Co: 0.000 0.500 0.000
Co: 0.000 0.000 0.500
Co: 0.500 0.000 0.000
Al: 0.500 0.500 0.500

***

Entry 9:
The following is a DFT calculation (PBE-GGA) of a relaxed InCoSe2Br crystal.

Properties
* Fermi-level density of states: 0.89 states/eV/atom
* V: 125.1 Å³ per cell
* formation energy (no corrections): 6 meV per atom
* crystal system: tetragonal
* raw total energy: -3.692 eV/atom

Cell lengths 4.685, 4.685, 5.702 Å; angles 90.00, 90.00, 90.00 degrees
Sites, in units of the cell vectors:
Co: 0.000 0.000 0.000
Se: 0.000 0.500 0.000
Se: 0.500 0.000 0.000
Br: 0.000 0.000 0.500
In: 0.500 0.500 0.500

***

Entry 10:
The following is a DFT calculation (PBE-GGA) of a relaxed TlCd2Sn2 crystal.

Properties
* Fermi-level density of states: 0.46 states/eV/atom
* V: 288.3 Å³ per cell
* crystal system: tetragonal
* raw total energy: -2.394 eV/atom
* formation enthalpy at 0 K: 46 meV per atom

Cell lengths 4.710, 4.710, 12.997 Å; angles 90.00, 90.00, 90.00 degrees
Sites, in units of the cell vectors:
Tl: 0.500 0.000 0.246
Tl: 0.000 0.500 0.754
Cd: 0.000 0.500 0.355
Cd: 0.500 0.000 0.645
Cd: 0.500 0.500 0.000
Cd: 0.000 0.000 0.000
Sn: 0.500 0.500 0.500
Sn: 0.000 0.000 0.500
Sn: 0.000 0.500 0.138
Sn: 0.500 0.000 0.862

***

Entry 11:
The following is a DFT calculation (PBE-GGA) of a relaxed Pm2NdErSc crystal.

Properties
* Fermi-level density of states: 1.31 states/eV/atom
* V: 337.7 Å³ per cell
* crystal system: orthorhombic
* raw total energy: -4.686 eV/atom
* formation enthalpy at 0 K: 347 meV per atom

Cell lengths 7.181, 8.243, 7.039 Å; angles 125.84, 90.00, 90.00 degrees
Sites, in units of the cell vectors:
Pm: 0.500 0.301 0.000
Pm: 0.000 0.699 0.000
Pm: 0.500 0.699 0.000
Pm: 0.000 0.301 0.000
Nd: 0.250 0.728 0.456
Nd: 0.750 0.272 0.544
Er: 0.750 0.740 0.481
Er: 0.250 0.260 0.519
Sc: 0.250 0.990 0.979
Sc: 0.750 0.010 0.021

***

Entry 12:
The following is a DFT calculation (PBE-GGA) of a relaxed BeNiRu2Pt crystal.

Properties
* Fermi-level density of states: 1.24 states/eV/atom
* V: 68.1 Å³ per cell
* crystal system: tetragonal
* raw total energy: -6.267 eV/atom
* formation enthalpy at 0 K: 553 meV per atom

Cell lengths 4.075, 4.104, 4.075 Å; angles 90.00, 90.00, 90.00 degrees
Sites, in units of the cell vectors:
Ru: 0.000 0.000 0.500
Ru: 0.500 0.000 0.000
Be: 0.000 0.000 0.000
Pt: 0.000 0.500 0.000
Ni: 0.500 0.500 0.500

***

Which formula does entry 6 have? Pa4Te5Se2

***

The highest V belongs to which entry? Pa4Te5Se2

***

What is the Fermi-level density of states in the twelfth record? 1.24 states/eV/atom

***

Please write out number 9 again, unchanged.
The following is a DFT calculation (PBE-GGA) of a relaxed InCoSe2Br crystal.

Properties
* Fermi-level density of states: 0.89 states/eV/atom
* V: 125.1 Å³ per cell
* formation energy (no corrections): 6 meV per atom
* crystal system: tetragonal
* raw total energy: -3.692 eV/atom

Cell lengths 4.685, 4.685, 5.702 Å; angles 90.00, 90.00, 90.00 degrees
Sites, in units of the cell vectors:
Co: 0.000 0.000 0.000
Se: 0.000 0.500 0.000
Se: 0.500 0.000 0.000
Br: 0.000 0.000 0.500
In: 0.500 0.500 0.500